Model A:
The following is a DFT calculation (PBE-GGA) of crystalline LaAs2RuBr at its relaxed geometry.

The structure belongs to space group P4/mmm (No. 123); the cell edges are 5.7191, 5.7191 and 5.6444 Å and the angles 90.00°, 90.00° and 90.00°. The inequivalent atoms are La at (0.0000, 0.0000, 0.0000), As at (0.0000, 0.5000, 0.0000), Ru at (0.5000, 0.5000, 0.5000) and Br at (0.0000, 0.0000, 0.5000).

For the magnetic moment, the calculation gives 3.7 μB per formula unit.



Model B:
The following is a DFT calculation (PBE-GGA) of crystalline LaAs2RuBr at its relaxed geometry.

The structure belongs to space group P4/mmm (No. 123); the cell edges are 4.7873, 4.7873 and 5.2265 Å and the angles 90.00°, 90.00° and 90.00°. The inequivalent atoms are La at (0.0000, 0.0000, 0.0000), As at (0.0000, 0.5000, 0.5000), Ru at (0.5000, 0.5000, 0.5000) and Br at (0.5000, 0.5000, 0.0000).

For the magnetic moment, the calculation gives 0.0 μB per formula unit.



Order from most stable to least stable according to the calculation: model B, model A



Model A:
The following is a DFT calculation (PBE-GGA) of crystalline LaSbAsBr2 at its relaxed geometry.

The structure belongs to space group P4/mmm (No. 123); the cell edges are 5.4745, 5.4745 and 5.5223 Å and the angles 90.00°, 90.00° and 90.00°. The inequivalent atoms are La at (0.0000, 0.0000, 0.0000), Sb at (0.5000, 0.5000, 0.5000), As at (0.5000, 0.5000, 0.0000) and Br at (0.0000, 0.5000, 0.5000).

For the magnetic moment, the calculation gives 0.3 μB per formula unit.



Model B:
The following is a DFT calculation (PBE-GGA) of crystalline LaSbAsBr2 at its relaxed geometry.

The structure belongs to space group P4/mmm (No. 123); the cell edges are 5.6835, 5.6835 and 6.2643 Å and the angles 90.00°, 90.00° and 90.00°. The inequivalent atoms are La at (0.0000, 0.0000, 0.0000), Sb at (0.5000, 0.5000, 0.5000), As at (0.0000, 0.0000, 0.5000) and Br at (0.0000, 0.5000, 0.0000).

For the magnetic moment, the calculation gives 1.0 μB per formula unit.



Order from most stable to least stable according to the calculation: model B, model A



Model A:
The following is a DFT calculation (PBE-GGA) of crystalline LaSiAsBr2 at its relaxed geometry.

The structure belongs to space group P4/mmm (No. 123); the cell edges are 5.0842, 5.0842 and 5.1340 Å and the angles 90.00°, 90.00° and 90.00°. The inequivalent atoms are La at (0.0000, 0.0000, 0.0000), Si at (0.5000, 0.5000, 0.5000), As at (0.5000, 0.5000, 0.0000) and Br at (0.0000, 0.5000, 0.5000).

For the magnetic moment, the calculation gives 0.3 μB per formula unit.



Model B:
The following is a DFT calculation (PBE-GGA) of crystalline LaSiAsBr2 at its relaxed geometry.

The structure belongs to space group P4/mmm (No. 123); the cell edges are 5.7105, 5.7105 and 6.0792 Å and the angles 90.00°, 90.00° and 90.00°. The inequivalent atoms are La at (0.0000, 0.0000, 0.0000), Si at (0.5000, 0.5000, 0.5000), As at (0.0000, 0.0000, 0.5000) and Br at (0.0000, 0.5000, 0.0000).

For the magnetic moment, the calculation gives 0.0 μB per formula unit.



Order from most stable to least stable according to the calculation: model A, model B



Model A:
The following is a DFT calculation (PBE-GGA) of crystalline LaSnAs2Br at its relaxed geometry.

The structure belongs to space group P4/mmm (No. 123); the cell edges are 5.2572, 5.2572 and 5.3724 Å and the angles 90.00°, 90.00° and 90.00°. The inequivalent atoms are La at (0.0000, 0.0000, 0.0000), Sn at (0.5000, 0.5000, 0.5000), As at (0.0000, 0.5000, 0.5000) and Br at (0.5000, 0.5000, 0.0000).

For the magnetic moment, the calculation gives 0.2 μB per formula unit.



Model B:
The following is a DFT calculation (PBE-GGA) of crystalline LaSnAs2Br at its relaxed geometry.

The structure belongs to space group P4/mmm (No. 123); the cell edges are 5.7159, 5.7159 and 5.6486 Å and the angles 90.00°, 90.00° and 90.00°. The inequivalent atoms are La at (0.0000, 0.0000, 0.0000), Sn at (0.5000, 0.5000, 0.5000), As at (0.0000, 0.5000, 0.0000) and Br at (0.0000, 0.0000, 0.5000).

For the magnetic moment, the calculation gives 0.0 μB per formula unit.



Order from most stable to least stable according to the calculation: model A, model B



Model A:
The following is a DFT calculation (PBE-GGA) of crystalline SrLaAs2Br at its relaxed geometry.

The structure belongs to space group P4/mmm (No. 123); the cell edges are 5.6486, 5.6486 and 5.7781 Å and the angles 90.00°, 90.00° and 90.00°. The inequivalent atoms are Sr at (0.0000, 0.0000, 0.0000), La at (0.5000, 0.5000, 0.5000), As at (0.0000, 0.5000, 0.5000) and Br at (0.5000, 0.5000, 0.0000).

For the magnetic moment, the calculation gives 0.0 μB per formula unit.



Model B:
The following is a DFT calculation (PBE-GGA) of crystalline SrLaAs2Br at its relaxed geometry.

The structure belongs to space group P4/mmm (No. 123); the cell edges are 5.5437, 5.5437 and 5.4987 Å and the angles 90.00°, 90.00° and 90.00°. The inequivalent atoms are Sr at (0.0000, 0.0000, 0.0000), La at (0.5000, 0.5000, 0.5000), As at (0.0000, 0.5000, 0.0000) and Br at (0.0000, 0.0000, 0.5000).

For the magnetic moment, the calculation gives 0.0 μB per formula unit.



Order from most stable to least stable according to the calculation: model A, model B



Model A:
The following is a DFT calculation (PBE-GGA) of crystalline LaTaAsBr2 at its relaxed geometry.

The structure belongs to space group P4/mmm (No. 123); the cell edges are 5.6074, 5.6074 and 6.0483 Å and the angles 90.00°, 90.00° and 90.00°. The inequivalent atoms are La at (0.0000, 0.0000, 0.0000), Ta at (0.5000, 0.5000, 0.5000), As at (0.0000, 0.0000, 0.5000) and Br at (0.0000, 0.5000, 0.0000).

For the magnetic moment, the calculation gives 3.0 μB per formula unit.



Model B:
The following is a DFT calculation (PBE-GGA) of crystalline LaTaAsBr2 at its relaxed geometry.

The structure belongs to space group P4/mmm (No. 123); the cell edges are 5.0766, 5.0766 and 5.1087 Å and the angles 90.00°, 90.00° and 90.00°. The inequivalent atoms are La at (0.0000, 0.0000, 0.0000), Ta at (0.5000, 0.5000, 0.5000), As at (0.5000, 0.5000, 0.0000) and Br at (0.0000, 0.5000, 0.5000).

For the magnetic moment, the calculation gives 0.0 μB per formula unit.



Order from most stable to least stable according to the calculation: model B, model A



Model A:
The following is a DFT calculation (PBE-GGA) of crystalline LaTiAsBr2 at its relaxed geometry.

The structure belongs to space group P4/mmm (No. 123); the cell edges are 4.9808, 4.9808 and 5.1594 Å and the angles 90.00°, 90.00° and 90.00°. The inequivalent atoms are La at (0.0000, 0.0000, 0.0000), Ti at (0.5000, 0.5000, 0.5000), As at (0.5000, 0.5000, 0.0000) and Br at (0.0000, 0.5000, 0.5000).

For the magnetic moment, the calculation gives 1.1 μB per formula unit.



Model B:
The following is a DFT calculation (PBE-GGA) of crystalline LaTiAsBr2 at its relaxed geometry.

The structure belongs to space group P4/mmm (No. 123); the cell edges are 5.6919, 5.6919 and 5.9252 Å and the angles 90.00°, 90.00° and 90.00°. The inequivalent atoms are La at (0.0000, 0.0000, 0.0000), Ti at (0.5000, 0.5000, 0.5000), As at (0.0000, 0.0000, 0.5000) and Br at (0.0000, 0.5000, 0.0000).

For the magnetic moment, the calculation gives 2.2 μB per formula unit.



Order from most stable to least stable according to the calculation: model A, model B



Model A:
The following is a DFT calculation (PBE-GGA) of crystalline LaTlAs2Br at its relaxed geometry.

The structure belongs to space group P4/mmm (No. 123); the cell edges are 5.7707, 5.7707 and 5.9063 Å and the angles 90.00°, 90.00° and 90.00°. The inequivalent atoms are La at (0.0000, 0.0000, 0.0000), Tl at (0.5000, 0.5000, 0.5000), As at (0.0000, 0.5000, 0.0000) and Br at (0.0000, 0.0000, 0.5000).

For the magnetic moment, the calculation gives 0.8 μB per formula unit.



Model B:
The following is a DFT calculation (PBE-GGA) of crystalline LaTlAs2Br at its relaxed geometry.

The structure belongs to space group P4/mmm (No. 123); the cell edges are 5.2596, 5.2596 and 5.5964 Å and the angles 90.00°, 90.00° and 90.00°. The inequivalent atoms are La at (0.0000, 0.0000, 0.0000), Tl at (0.5000, 0.5000, 0.5000), As at (0.0000, 0.5000, 0.5000) and Br at (0.5000, 0.5000, 0.0000).

For the magnetic moment, the calculation gives 0.0 μB per formula unit.



Order from most stable to least stable according to the calculation: model A, model B



Model A:
The following is a DFT calculation (PBE-GGA) of crystalline LaYAsBr2 at its relaxed geometry.

The structure belongs to space group P4/mmm (No. 123); the cell edges are 5.3621, 5.3621 and 5.6306 Å and the angles 90.00°, 90.00° and 90.00°. The inequivalent atoms are La at (0.0000, 0.0000, 0.0000), Y at (0.5000, 0.5000, 0.5000), As at (0.5000, 0.5000, 0.0000) and Br at (0.0000, 0.5000, 0.5000).

For the magnetic moment, the calculation gives 0.5 μB per formula unit.



Model B:
The following is a DFT calculation (PBE-GGA) of crystalline LaYAsBr2 at its relaxed geometry.

The structure belongs to space group P4/mmm (No. 123); the cell edges are 5.6272, 5.6272 and 6.0122 Å and the angles 90.00°, 90.00° and 90.00°. The inequivalent atoms are La at (0.0000, 0.0000, 0.0000), Y at (0.5000, 0.5000, 0.5000), As at (0.0000, 0.0000, 0.5000) and Br at (0.0000, 0.5000, 0.0000).

For the magnetic moment, the calculation gives 0.9 μB per formula unit.



Order from most stable to least stable according to the calculation: model A, model B



Model A:
The following is a DFT calculation (PBE-GGA) of crystalline LaZnAsBr2 at its relaxed geometry.

The structure belongs to space group P4/mmm (No. 123); the cell edges are 5.8763, 5.8763 and 6.1738 Å and the angles 90.00°, 90.00° and 90.00°. The inequivalent atoms are La at (0.0000, 0.0000, 0.0000), Zn at (0.5000, 0.5000, 0.5000), As at (0.0000, 0.0000, 0.5000) and Br at (0.0000, 0.5000, 0.0000).

For the magnetic moment, the calculation gives 2.0 μB per formula unit.



Model B:
The following is a DFT calculation (PBE-GGA) of crystalline LaZnAsBr2 at its relaxed geometry.

The structure belongs to space group P4/mmm (No. 123); the cell edges are 5.0122, 5.0122 and 5.2627 Å and the angles 90.00°, 90.00° and 90.00°. The inequivalent atoms are La at (0.0000, 0.0000, 0.0000), Zn at (0.5000, 0.5000, 0.5000), As at (0.5000, 0.5000, 0.0000) and Br at (0.0000, 0.5000, 0.5000).

For the magnetic moment, the calculation gives 0.0 μB per formula unit.



Order from most stable to least stable according to the calculation: model B, model A



Model A:
The following is a DFT calculation (PBE-GGA) of crystalline LaZrAsBr2 at its relaxed geometry.

The structure belongs to space group P4/mmm (No. 123); the cell edges are 5.6246, 5.6246 and 5.9754 Å and the angles 90.00°, 90.00° and 90.00°. The inequivalent atoms are La at (0.0000, 0.0000, 0.0000), Zr at (0.5000, 0.5000, 0.5000), As at (0.0000, 0.0000, 0.5000) and Br at (0.0000, 0.5000, 0.0000).

For the magnetic moment, the calculation gives 2.0 μB per formula unit.



Model B:
The following is a DFT calculation (PBE-GGA) of crystalline LaZrAsBr2 at its relaxed geometry.

The structure belongs to space group P4/mmm (No. 123); the cell edges are 5.1813, 5.1813 and 5.3463 Å and the angles 90.00°, 90.00° and 90.00°. The inequivalent atoms are La at (0.0000, 0.0000, 0.0000), Zr at (0.5000, 0.5000, 0.5000), As at (0.5000, 0.5000, 0.0000) and Br at (0.0000, 0.5000, 0.5000).

For the magnetic moment, the calculation gives 0.4 μB per formula unit.



Order from most stable to least stable according to the calculation: model B, model A



Model A:
The following is a DFT calculation (PBE-GGA) of crystalline Li2AsBr at its relaxed geometry.

The structure belongs to space group P2/m (No. 10); the cell edges are 4.2643, 3.3276 and 5.5682 Å and the angles 90.00°, 104.25° and 90.00°. The inequivalent atoms are Li at (0.0000, 0.0000, 0.0000), Li at (0.5000, 0.5000, 0.5000), As at (0.0000, 0.0000, 0.5000) and Br at (0.5000, 0.5000, 0.0000).

For the magnetic moment, the calculation gives 0.0 μB per formula unit.



Model B:
The following is a DFT calculation (PBE-GGA) of crystalline Li2AsBr at its relaxed geometry.

The structure belongs to space group P4mm (No. 99); the cell edges are 3.3300, 3.3300 and 7.7040 Å and the angles 90.00°, 90.00° and 90.00°. The inequivalent atoms are Li at (0.0000, 0.0000, 0.0000), Li at (0.5000, 0.5000, 0.4508), As at (0.0000, 0.0000, 0.6493) and Br at (0.5000, 0.5000, 0.1266).

For the magnetic moment, the calculation gives 0.0 μB per formula unit.



Model C:
The following is a DFT calculation (PBE-GGA) of crystalline Li2AsBr at its relaxed geometry.

The structure belongs to space group Pmmm (No. 47); the cell edges are 3.1892, 4.2034 and 6.3688 Å and the angles 90.00°, 90.00° and 90.00°. The inequivalent atoms are Li at (0.0000, 0.0000, 0.0000), Li at (0.0000, 0.5000, 0.5000), As at (0.5000, 0.0000, 0.5000) and Br at (0.5000, 0.5000, 0.0000).

For the magnetic moment, the calculation gives 0.2 μB per formula unit.



Order from most stable to least stable according to the calculation: model B, model A, model C